Entry 1:
# PBE ScBeTl2, optimized geometry
# - magnetization (μB per atom) = 0.000
# - formation energy (eV/atom) = 0.21
# - E (Ry/atom) = -0.2561
# - theoretical density (kg/m³) = 8860
data_ScBeTl2
_space_group_name_H-M_alt 'I m m 2'
_space_group_IT_number 44
_space_group_name_Hall 'I 2 -2'
_cell_length_a 3.5649
_cell_length_b 4.5332
_cell_length_c 10.7332
_cell_angle_alpha 90.00
_cell_angle_beta 90.00
_cell_angle_gamma 90.00
loop_
_atom_site_label
_atom_site_type_symbol
_atom_site_fract_x
_atom_site_fract_y
_atom_site_fract_z
_atom_site_occupancy
Sc1 Sc 0.0000 0.0000 0.0000 1
Be1 Be 0.0000 0.5000 0.2972 1
Tl1 Tl 0.0000 0.0000 0.5934 1
Tl2 Tl 0.0000 0.5000 0.8038 1

Entry 2:
# PBE ScBeTl2, optimized geometry
# - magnetization (μB per atom) = 0.000
# - formation energy (eV/atom) = 0.28
# - E (Ry/atom) = -0.2514
# - theoretical density (kg/m³) = 9041
data_ScBeTl2
_space_group_name_H-M_alt 'I 4/m m m'
_space_group_IT_number 139
_space_group_name_Hall '-I 4 2'
_cell_length_a 4.3664
_cell_length_b 4.3664
_cell_length_c 8.9160
_cell_angle_alpha 90.00
_cell_angle_beta 90.00
_cell_angle_gamma 90.00
loop_
_atom_site_label
_atom_site_type_symbol
_atom_site_fract_x
_atom_site_fract_y
_atom_site_fract_z
_atom_site_occupancy
Sc1 Sc 0.0000 0.0000 0.0000 1
Be1 Be 0.0000 0.0000 0.5000 1
Tl1 Tl 0.0000 0.5000 0.2500 1

Number 1: DOS at the Fermi energy 4.33 states/eV per cell. Number 2: DOS at the Fermi energy 4.19 states/eV per cell.